An optimized crystal structure of Ac3PmSn3, computed with GGA-PBE.

Results
E_form = -0.464 eV per atom
Crystal system = monoclinic

CIF file:
```
data_Ac3PmSn3
_chemical_formula_sum 'Ac12 Pm4 Sn12'
_cell_length_a 9.1548
_cell_length_b 13.9921
_cell_length_c 8.6088
_cell_angle_alpha 90.00
_cell_angle_beta 94.00
_cell_angle_gamma 90.00
_space_group_name_H-M_alt 'C 1 2/m 1'
_space_group_IT_number 12
_space_group_name_Hall '-C 2y'
loop_
_atom_site_label
_atom_site_fract_x
_atom_site_fract_y
_atom_site_fract_z
Ac1 0.0000 0.1625 0.0000
Ac2 0.0000 0.2294 0.5000
Ac3 0.1163 0.5000 0.8503
Pm1 0.2467 0.0000 0.5960
Sn1 0.0634 0.0000 0.2859
Sn2 0.1814 0.3279 0.2017
```



An optimized crystal structure of Ac2PmSn, computed with GGA-PBE.

Results
E_form = -0.288 eV per atom
Crystal system = tetragonal

CIF file:
```
data_Ac2PmSn
_chemical_formula_sum 'Ac2 Pm1 Sn1'
_cell_length_a 4.4555
_cell_length_b 4.4555
_cell_length_c 7.3727
_cell_angle_alpha 90.00
_cell_angle_beta 90.00
_cell_angle_gamma 90.00
_space_group_name_H-M_alt 'P 4/m m m'
_space_group_IT_number 123
_space_group_name_Hall '-P 4 2'
loop_
_atom_site_label
_atom_site_fract_x
_atom_site_fract_y
_atom_site_fract_z
Ac1 0.0000 0.0000 0.2291
Pm1 0.5000 0.5000 0.5000
Sn1 0.5000 0.5000 0.0000
```



An optimized crystal structure of AcPm2Sn, computed with GGA-PBE.

Results
E_form = -0.217 eV per atom
Crystal system = cubic

CIF file:
```
data_AcPm2Sn
_chemical_formula_sum 'Ac4 Pm8 Sn4'
_cell_length_a 7.9894
_cell_length_b 7.9894
_cell_length_c 7.9894
_cell_angle_alpha 90.00
_cell_angle_beta 90.00
_cell_angle_gamma 90.00
_space_group_name_H-M_alt 'F m -3 m'
_space_group_IT_number 225
_space_group_name_Hall '-F 4 2 3'
loop_
_atom_site_label
_atom_site_fract_x
_atom_site_fract_y
_atom_site_fract_z
Ac1 0.0000 0.0000 0.0000
Pm1 0.2500 0.2500 0.2500
Sn1 0.0000 0.0000 0.5000
```



An optimized crystal structure of Ac4Pm6Sn7, computed with GGA-PBE.

Results
E_form = -0.355 eV per atom
Crystal system = cubic

CIF file:
```
data_Ac4Pm6Sn7
_chemical_formula_sum 'Ac8 Pm12 Sn14'
_cell_length_a 10.3502
_cell_length_b 10.3502
_cell_length_c 10.3502
_cell_angle_alpha 90.00
_cell_angle_beta 90.00
_cell_angle_gamma 90.00
_space_group_name_H-M_alt 'I m -3 m'
_space_group_IT_number 229
_space_group_name_Hall '-I 4 2 3'
loop_
_atom_site_label
_atom_site_fract_x
_atom_site_fract_y
_atom_site_fract_z
Ac1 0.2500 0.2500 0.2500
Pm1 0.0000 0.0000 0.3011
Sn1 0.0000 0.0000 0.0000
Sn2 0.0000 0.2500 0.5000
```



Quick rundown of total energy, same order as above: -4.62 -4.53 -4.62 -4.65 eV/atom
Quick rundown of DOS(E_F), same order as above: 19.52 4.61 26.98 46.09 states/eV/cell
Quick rundown of size of the total moment, same order as above: 0.00 0.00 0.00 0.00 μB/atom